PmYTm3Sc: optimized geometry, GGA-PBE.

Properties
Crystal system = orthorhombic
Energy of formation from the pure elements = 40 meV/atom
Electronic total energy = -61.44 eV for the cell shown
Space group = Cmcm (63)

abc: 7.805 7.805 9.874
angles: 90.00 90.00 143.08
Fractional positions:
Pm 0.001 0.999 0.750
Pm 0.999 0.001 0.250
Y 0.334 0.666 0.750
Y 0.666 0.334 0.250
Tm 0.165 0.835 0.000
Tm 0.165 0.835 0.500
Tm 0.334 0.666 0.250
Tm 0.666 0.334 0.750
Tm 0.835 0.165 0.000
Tm 0.835 0.165 0.500
Sc 0.500 0.500 0.000
Sc 0.500 0.500 0.500


La2DyYEr5: optimized geometry, GGA-PBE.

Properties
Crystal system = tetragonal
Energy of formation from the pure elements = 260 meV/atom
Electronic total energy = -82.80 eV for the cell shown
Space group = I4/mcm (140)

abc: 9.974 9.974 9.974
angles: 129.03 129.03 74.96
Fractional positions:
La 0.118 0.618 0.736
La 0.382 0.118 0.500
La 0.618 0.882 0.500
La 0.882 0.382 0.264
Dy 0.250 0.250 0.000
Dy 0.750 0.750 0.000
Y 0.250 0.750 0.500
Y 0.750 0.250 0.500
Er 0.000 0.000 0.000
Er 0.075 0.140 0.500
Er 0.140 0.640 0.065
Er 0.360 0.425 0.500
Er 0.425 0.925 0.065
Er 0.500 0.500 0.000
Er 0.575 0.075 0.935
Er 0.640 0.575 0.500
Er 0.860 0.360 0.935
Er 0.925 0.860 0.500


AlAsCl: optimized geometry, GGA-PBE.

Properties
Crystal system = triclinic
Electronic total energy = -24.62 eV for the cell shown
Space group = P-1 (2)

abc: 4.094 5.633 6.297
angles: 89.68 84.61 70.12
Fractional positions:
Al 0.096 0.079 0.226
Al 0.904 0.921 0.774
As 0.456 0.729 0.955
As 0.544 0.271 0.045
Cl 0.105 0.221 0.566
Cl 0.895 0.779 0.434


YNiW3: optimized geometry, GGA-PBE.

Properties
Crystal system = cubic
Offset from the most stable computed form = 2.0400 eV/atom
Energy of formation from the pure elements = 3290 meV/atom
Electronic total energy = -34.65 eV for the cell shown
Space group = Pm-3m (221)

abc: 4.762 4.762 4.762
angles: 90.00 90.00 90.00
Fractional positions:
Y 0.000 0.000 0.000
Ni 0.500 0.500 0.500
W 0.000 0.000 0.500
W 0.000 0.500 0.000
W 0.500 0.000 0.000


LiGaS2: optimized geometry, GGA-PBE.

Properties
Crystal system = monoclinic
Electronic total energy = -33.66 eV for the cell shown
Space group = C2/c (15)

abc: 6.410 6.410 5.965
angles: 117.59 117.59 97.32
Fractional positions:
Li 0.002 0.998 0.750
Li 0.998 0.002 0.250
Ga 0.500 0.500 0.250
Ga 0.500 0.500 0.750
S 0.159 0.404 0.782
S 0.404 0.159 0.282
S 0.596 0.841 0.718
S 0.841 0.596 0.218


GdTm2Mg: optimized geometry, GGA-PBE.

Properties
Crystal system = trigonal
Offset from the most stable computed form = 0.2263 eV/atom
Energy of formation from the pure elements = 212 meV/atom
Electronic total energy = -23.77 eV for the cell shown
Space group = R-3m (166)

abc: 12.298 12.298 12.298
angles: 15.93 15.93 15.93
Fractional positions:
Gd 0.000 0.000 0.000
Tm 0.411 0.411 0.411
Tm 0.589 0.589 0.589
Mg 0.500 0.500 0.500


Li6Cd2Pd: optimized geometry, GGA-PBE.

Properties
Crystal system = monoclinic
Energy of formation from the pure elements = -227 meV/atom
Electronic total energy = -20.55 eV for the cell shown
Space group = C2/m (12)

abc: 7.880 7.880 2.795
angles: 91.32 91.32 60.18
Fractional positions:
Li 0.179 0.500 0.997
Li 0.179 0.821 0.000
Li 0.500 0.179 0.997
Li 0.500 0.821 0.003
Li 0.821 0.179 0.000
Li 0.821 0.500 0.003
Cd 0.166 0.166 0.500
Cd 0.834 0.834 0.500
Pd 0.500 0.500 0.500


PmY5Ho2Sc: optimized geometry, GGA-PBE.

Properties
Crystal system = orthorhombic
Energy of formation from the pure elements = 168 meV/atom
Electronic total energy = -102.10 eV for the cell shown
Space group = Cmc2_1 (36)

abc: 10.325 10.325 10.390
angles: 90.00 90.00 148.73
Fractional positions:
Pm 0.089 0.911 0.500
Pm 0.911 0.089 0.000
Y 0.019 0.981 0.788
Y 0.127 0.873 0.072
Y 0.201 0.799 0.753
Y 0.226 0.774 0.380
Y 0.482 0.518 0.068
Y 0.518 0.482 0.568
Y 0.774 0.226 0.880
Y 0.799 0.201 0.253
Y 0.873 0.127 0.572
Y 0.981 0.019 0.288
Ho 0.386 0.614 0.786
Ho 0.389 0.611 0.364
Ho 0.611 0.389 0.864
Ho 0.614 0.386 0.286
Sc 0.307 0.693 0.067
Sc 0.693 0.307 0.567


Sr2TlAg3Bi4: optimized geometry, GGA-PBE.

Properties
Crystal system = tetragonal
Energy of formation from the pure elements = -271 meV/atom
Electronic total energy = -32.51 eV for the cell shown
Space group = P-4m2 (115)

abc: 4.991 4.991 12.486
angles: 90.00 90.00 90.00
Fractional positions:
Sr 0.000 0.500 0.237
Sr 0.500 0.000 0.763
Tl 0.000 0.000 0.500
Ag 0.000 0.500 0.869
Ag 0.500 0.000 0.131
Ag 0.500 0.500 0.500
Bi 0.000 0.000 0.000
Bi 0.000 0.500 0.646
Bi 0.500 0.000 0.354
Bi 0.500 0.500 0.000


ZrInTc2: optimized geometry, GGA-PBE.

Properties
Crystal system = orthorhombic
Offset from the most stable computed form = 0.2662 eV/atom
Energy of formation from the pure elements = 158 meV/atom
Electronic total energy = -31.39 eV for the cell shown
Space group = Cmmm (65)

abc: 2.952 2.952 8.878
angles: 90.00 90.00 112.02
Fractional positions:
Zr 0.000 0.000 0.000
In 0.000 0.000 0.500
Tc 0.500 0.500 0.245
Tc 0.500 0.500 0.755


ReMoSeBr2: optimized geometry, GGA-PBE.

Properties
Crystal system = tetragonal
Offset from the most stable computed form = 0.1097 eV/atom
Electronic total energy = -23.89 eV for the cell shown
Space group = P4/mmm (123)

abc: 5.284 5.284 4.891
angles: 90.00 90.00 90.00
Fractional positions:
Re 0.000 0.000 0.000
Mo 0.500 0.500 0.500
Se 0.500 0.500 0.000
Br 0.000 0.500 0.500
Br 0.500 0.000 0.500


Tc2RhS: optimized geometry, GGA-PBE.

Properties
Crystal system = tetragonal
Electronic total energy = -60.23 eV for the cell shown
Space group = I-42d (122)

abc: 6.470 6.470 6.470
angles: 130.15 130.15 73.17
Fractional positions:
Tc 0.101 0.625 0.976
Tc 0.375 0.351 0.476
Tc 0.649 0.125 0.024
Tc 0.875 0.899 0.524
Rh 0.250 0.750 0.500
Rh 0.500 0.500 0.000
S 0.000 0.000 0.000
S 0.750 0.250 0.500